Entry from Alexandria: a relaxed structure of NaLi5Hg3 (PBE-GGA).

Cell lengths 8.3599, 8.3599, 5.8034 Å; angles 90.00, 90.00, 120.00 degrees
Element x y z (fractional)
Na  0.0000  0.0000  0.0000
Na  0.0000  0.0000  0.5000
Li  0.0000  0.3313  0.2500
Li  0.0000  0.6687  0.7500
Li  0.3313  0.0000  0.2500
Li  0.3313  0.3313  0.7500
Li  0.3333  0.6667  0.0000
Li  0.3333  0.6667  0.5000
Li  0.6667  0.3333  0.0000
Li  0.6667  0.3333  0.5000
Li  0.6687  0.0000  0.7500
Li  0.6687  0.6687  0.2500
Hg  0.0000  0.3482  0.7500
Hg  0.0000  0.6518  0.2500
Hg  0.3482  0.0000  0.7500
Hg  0.3482  0.3482  0.2500
Hg  0.6518  0.0000  0.2500
Hg  0.6518  0.6518  0.7500

Properties
D(E_F) ... 4.25 states/eV/f.u.
Magnetization ... 0.0 Bohr magnetons per cell
Final energy ... -1.577 eV per atom